Compound: VAgTeF2
Source: the Alexandria database
Functional: PBE with a Hubbard U
Structure: relaxed

Results
VASP energy = -4.918 eV/atom

Cell lengths 4.0221, 4.0221, 5.9699 Å; angles 90.00, 90.00, 90.00 degrees
Positions (direct):
1 V 0.0000 0.0000 0.0000
2 Ag 0.5000 0.5000 0.5000
3 Te 0.0000 0.0000 0.5000
4 F 0.0000 0.5000 0.0000
5 F 0.5000 0.0000 0.0000

=====

Compound: V2AgTeF
Source: the Alexandria database
Functional: PBE with a Hubbard U
Structure: relaxed

Results
VASP energy = -4.583 eV/atom

Cell lengths 4.4492, 4.4492, 5.0219 Å; angles 90.00, 90.00, 90.00 degrees
Positions (direct):
1 V 0.0000 0.5000 0.0000
2 V 0.5000 0.0000 0.0000
3 Ag 0.0000 0.0000 0.5000
4 Te 0.5000 0.5000 0.5000
5 F 0.0000 0.0000 0.0000

=====

Compound: Ag2TeWF
Source: the Alexandria database
Functional: PBE with a Hubbard U
Structure: relaxed

Results
VASP energy = -2.854 eV/atom

Cell lengths 5.5101, 5.5101, 5.1793 Å; angles 90.00, 90.00, 90.00 degrees
Positions (direct):
1 Ag 0.0000 0.5000 0.0000
2 Ag 0.5000 0.0000 0.0000
3 Te 0.0000 0.0000 0.5000
4 W 0.0000 0.0000 0.0000
5 F 0.5000 0.5000 0.5000